Entry 1:
# AlTlAu, relaxed, DFT PBE
# crystal system = trigonal
# ΔE_f = -53 meV per atom
# E above lowest polymorph = 150 meV/atom
data_AlTlAu
_chemical_formula_sum 'Al1 Tl1 Au1'
_cell_length_a 3.6106
_cell_length_b 3.6106
_cell_length_c 6.0302
_cell_angle_alpha 90.00
_cell_angle_beta 90.00
_cell_angle_gamma 120.00
_symmetry_space_group_name_H-M 'P 1'
_symmetry_Int_Tables_number 1
loop_
_symmetry_equiv_pos_as_xyz
'x,y,z'
loop_
_atom_site_label
_atom_site_fract_x
_atom_site_fract_y
_atom_site_fract_z
_atom_site_occupancy
Tl1 0.3333 0.6667 0.6650 1
Au1 0.6667 0.3333 0.2889 1
Al1 0.0000 0.0000 0.0461 1


Entry 2:
# SrMg2Au2, relaxed, DFT PBE
# crystal system = tetragonal
# ΔE_f = -474 meV per atom
# E above lowest polymorph = 170 meV/atom
data_SrMg2Au2
_chemical_formula_sum 'Sr2 Mg4 Au4'
_cell_length_a 8.3137
_cell_length_b 8.3137
_cell_length_c 3.1743
_cell_angle_alpha 90.00
_cell_angle_beta 90.00
_cell_angle_gamma 90.00
_symmetry_space_group_name_H-M 'P 1'
_symmetry_Int_Tables_number 1
loop_
_symmetry_equiv_pos_as_xyz
'x,y,z'
loop_
_atom_site_label
_atom_site_fract_x
_atom_site_fract_y
_atom_site_fract_z
_atom_site_occupancy
Sr1 0.0000 0.0000 0.0000 1
Sr2 0.5000 0.5000 0.0000 1
Mg1 0.3758 0.8758 0.0000 1
Mg2 0.8758 0.6242 0.0000 1
Mg3 0.6242 0.1242 0.0000 1
Mg4 0.1242 0.3758 0.0000 1
Au1 0.1716 0.6716 0.5000 1
Au2 0.6716 0.8284 0.5000 1
Au3 0.8284 0.3284 0.5000 1
Au4 0.3284 0.1716 0.5000 1


Entry 3:
# Tb3Nd2SmSb6, relaxed, DFT PBE
# crystal system = monoclinic
# formation energy (no corrections) = -1.165 eV per atom
data_Tb3Nd2SmSb6
_chemical_formula_sum 'Tb3 Nd2 Sm1 Sb6'
_cell_length_a 4.4565
_cell_length_b 8.9054
_cell_length_c 9.9576
_cell_angle_alpha 102.86
_cell_angle_beta 102.93
_cell_angle_gamma 90.00
_symmetry_space_group_name_H-M 'P 1'
_symmetry_Int_Tables_number 1
loop_
_symmetry_equiv_pos_as_xyz
'x,y,z'
loop_
_atom_site_label
_atom_site_fract_x
_atom_site_fract_y
_atom_site_fract_z
_atom_site_occupancy
Tb1 0.5000 0.5000 0.0000 1
Tb2 0.8329 0.1665 0.6659 1
Tb3 0.1671 0.8335 0.3341 1
Nd1 0.8337 0.6671 0.6674 1
Nd2 0.1663 0.3329 0.3326 1
Sm1 0.5000 0.0000 0.0000 1
Sb1 0.3326 0.9217 0.6651 1
Sb2 0.6650 0.5876 0.3300 1
Sb3 0.6674 0.0783 0.3349 1
Sb4 0.9980 0.2519 0.9959 1
Sb5 0.0020 0.7481 0.0041 1
Sb6 0.3350 0.4124 0.6700 1


Entry 4:
# InBi2Os2, relaxed, DFT PBE
# crystal system = tetragonal
# ΔE_f = 634 meV per atom
# E above lowest polymorph = 0 meV/atom
data_InBi2Os2
_chemical_formula_sum 'In1 Bi2 Os2'
_cell_length_a 3.7198
_cell_length_b 3.7198
_cell_length_c 9.5254
_cell_angle_alpha 78.74
_cell_angle_beta 78.74
_cell_angle_gamma 90.00
_symmetry_space_group_name_H-M 'P 1'
_symmetry_Int_Tables_number 1
loop_
_symmetry_equiv_pos_as_xyz
'x,y,z'
loop_
_atom_site_label
_atom_site_fract_x
_atom_site_fract_y
_atom_site_fract_z
_atom_site_occupancy
Os1 0.7500 0.2500 0.5000 1
Os2 0.2500 0.7500 0.5000 1
Bi1 0.3703 0.3703 0.2593 1
Bi2 0.6297 0.6297 0.7407 1
In1 0.0000 0.0000 0.0000 1


Entry 5:
# CeLuMgRu, relaxed, DFT PBE
# crystal system = cubic
# ΔE_f = -158 meV per atom
data_CeLuMgRu
_chemical_formula_sum 'Ce1 Lu1 Mg1 Ru1'
_cell_length_a 5.0012
_cell_length_b 5.0012
_cell_length_c 5.0012
_cell_angle_alpha 60.00
_cell_angle_beta 60.00
_cell_angle_gamma 60.00
_symmetry_space_group_name_H-M 'P 1'
_symmetry_Int_Tables_number 1
loop_
_symmetry_equiv_pos_as_xyz
'x,y,z'
loop_
_atom_site_label
_atom_site_fract_x
_atom_site_fract_y
_atom_site_fract_z
_atom_site_occupancy
Ru1 0.7500 0.7500 0.7500 1
Mg1 0.2500 0.2500 0.2500 1
Lu1 0.5000 0.5000 0.5000 1
Ce1 0.0000 0.0000 0.0000 1


Entry 6:
# PrZn5Ga2, relaxed, DFT PBE
# crystal system = orthorhombic
# ΔE_f = -266 meV per atom
data_PrZn5Ga2
_chemical_formula_sum 'Pr1 Zn5 Ga2'
_cell_length_a 4.0741
_cell_length_b 6.4374
_cell_length_c 6.4374
_cell_angle_alpha 68.16
_cell_angle_beta 71.55
_cell_angle_gamma 71.55
_symmetry_space_group_name_H-M 'P 1'
_symmetry_Int_Tables_number 1
loop_
_symmetry_equiv_pos_as_xyz
'x,y,z'
loop_
_atom_site_label
_atom_site_fract_x
_atom_site_fract_y
_atom_site_fract_z
_atom_site_occupancy
Pr1 0.0000 0.0000 0.0000 1
Zn1 0.0000 0.5000 0.5000 1
Zn2 0.6368 0.5462 0.1801 1
Zn3 0.3632 0.4538 0.8199 1
Zn4 0.3632 0.8199 0.4538 1
Zn5 0.6368 0.1801 0.5462 1
Ga1 0.7450 0.7550 0.7550 1
Ga2 0.2550 0.2450 0.2450 1


Entry 7:
# NaLaNb2Pt, relaxed, DFT PBE
# crystal system = tetragonal
# ΔE_f = 1506 meV per atom
data_NaLaNb2Pt
_chemical_formula_sum 'Na1 La1 Nb2 Pt1'
_cell_length_a 5.0030
_cell_length_b 5.2982
_cell_length_c 5.0030
_cell_angle_alpha 90.00
_cell_angle_beta 90.00
_cell_angle_gamma 90.00
_symmetry_space_group_name_H-M 'P 1'
_symmetry_Int_Tables_number 1
loop_
_symmetry_equiv_pos_as_xyz
'x,y,z'
loop_
_atom_site_label
_atom_site_fract_x
_atom_site_fract_y
_atom_site_fract_z
_atom_site_occupancy
Na1 0.5000 0.5000 0.5000 1
Nb1 0.0000 0.0000 0.5000 1
Nb2 0.5000 0.0000 0.0000 1
Pt1 0.0000 0.5000 0.0000 1
La1 0.0000 0.0000 0.0000 1


Entry 8:
# SnBi, relaxed, DFT PBE
# crystal system = cubic
# ΔE_f = 321 meV per atom
data_SnBi
_chemical_formula_sum 'Sn8 Bi8'
_cell_length_a 9.6898
_cell_length_b 9.6898
_cell_length_c 9.6898
_cell_angle_alpha 90.00
_cell_angle_beta 90.00
_cell_angle_gamma 90.00
_symmetry_space_group_name_H-M 'P 1'
_symmetry_Int_Tables_number 1
loop_
_symmetry_equiv_pos_as_xyz
'x,y,z'
loop_
_atom_site_label
_atom_site_fract_x
_atom_site_fract_y
_atom_site_fract_z
_atom_site_occupancy
Sn1 0.1486 0.1486 0.1486 1
Sn2 0.1486 0.8514 0.8514 1
Sn3 0.8514 0.1486 0.8514 1
Sn4 0.8514 0.8514 0.1486 1
Sn5 0.6486 0.6486 0.6486 1
Sn6 0.6486 0.3514 0.3514 1
Sn7 0.3514 0.6486 0.3514 1
Sn8 0.3514 0.3514 0.6486 1
Bi1 0.3355 0.3355 0.3355 1
Bi2 0.3355 0.6645 0.6645 1
Bi3 0.6645 0.3355 0.6645 1
Bi4 0.6645 0.6645 0.3355 1
Bi5 0.8355 0.8355 0.8355 1
Bi6 0.8355 0.1645 0.1645 1
Bi7 0.1645 0.8355 0.1645 1
Bi8 0.1645 0.1645 0.8355 1


Entry 9:
# PmMgZnRu, relaxed, DFT PBE
# crystal system = cubic
# ΔE_f = -73 meV per atom
data_PmMgZnRu
_chemical_formula_sum 'Pm1 Mg1 Zn1 Ru1'
_cell_length_a 4.8176
_cell_length_b 4.8176
_cell_length_c 4.8176
_cell_angle_alpha 60.00
_cell_angle_beta 60.00
_cell_angle_gamma 60.00
_symmetry_space_group_name_H-M 'P 1'
_symmetry_Int_Tables_number 1
loop_
_symmetry_equiv_pos_as_xyz
'x,y,z'
loop_
_atom_site_label
_atom_site_fract_x
_atom_site_fract_y
_atom_site_fract_z
_atom_site_occupancy
Ru1 0.2500 0.2500 0.2500 1
Zn1 0.7500 0.7500 0.7500 1
Mg1 0.5000 0.5000 0.5000 1
Pm1 0.0000 0.0000 0.0000 1


Entry 10:
# NaZnCl2, relaxed, DFT PBE
# crystal system = trigonal
# formation energy (no corrections) = -0.948 eV per atom
# E above lowest polymorph = 18 meV/atom
data_NaZnCl2
_chemical_formula_sum 'Na1 Zn1 Cl2'
_cell_length_a 8.2731
_cell_length_b 8.2731
_cell_length_c 8.2731
_cell_angle_alpha 27.79
_cell_angle_beta 27.79
_cell_angle_gamma 27.79
_symmetry_space_group_name_H-M 'P 1'
_symmetry_Int_Tables_number 1
loop_
_symmetry_equiv_pos_as_xyz
'x,y,z'
loop_
_atom_site_label
_atom_site_fract_x
_atom_site_fract_y
_atom_site_fract_z
_atom_site_occupancy
Na1 0.5000 0.5000 0.5000 1
Zn1 0.0000 0.0000 0.0000 1
Cl1 0.9001 0.9001 0.9001 1
Cl2 0.0999 0.0999 0.0999 1


Entry 11:
# V2InC, relaxed, DFT PBE
# crystal system = hexagonal
# ΔE_f = -350 meV per atom
# E above lowest polymorph = 0 meV/atom
data_V2InC
_chemical_formula_sum 'V4 In2 C2'
_cell_length_a 3.0258
_cell_length_b 3.0258
_cell_length_c 13.6132
_cell_angle_alpha 90.00
_cell_angle_beta 90.00
_cell_angle_gamma 120.00
_symmetry_space_group_name_H-M 'P 1'
_symmetry_Int_Tables_number 1
loop_
_symmetry_equiv_pos_as_xyz
'x,y,z'
loop_
_atom_site_label
_atom_site_fract_x
_atom_site_fract_y
_atom_site_fract_z
_atom_site_occupancy
V1 0.3333 0.6667 0.0776 1
V2 0.3333 0.6667 0.4224 1
V3 0.6667 0.3333 0.5776 1
V4 0.6667 0.3333 0.9224 1
In1 0.3333 0.6667 0.7500 1
In2 0.6667 0.3333 0.2500 1
C1 0.0000 0.0000 0.0000 1
C2 0.0000 0.0000 0.5000 1


Entry 12:
# ScTlO2, relaxed, DFT PBE
# crystal system = tetragonal
# formation energy (no corrections) = -2.296 eV per atom
# E above lowest polymorph = 114 meV/atom
data_ScTlO2
_chemical_formula_sum 'Sc2 Tl2 O4'
_cell_length_a 5.8580
_cell_length_b 5.8580
_cell_length_c 6.0925
_cell_angle_alpha 61.27
_cell_angle_beta 61.27
_cell_angle_gamma 90.00
_symmetry_space_group_name_H-M 'P 1'
_symmetry_Int_Tables_number 1
loop_
_symmetry_equiv_pos_as_xyz
'x,y,z'
loop_
_atom_site_label
_atom_site_fract_x
_atom_site_fract_y
_atom_site_fract_z
_atom_site_occupancy
Sc1 0.5000 0.5000 0.0000 1
Sc2 0.2500 0.7500 0.5000 1
Tl1 0.0000 0.0000 0.0000 1
Tl2 0.7500 0.2500 0.5000 1
O1 0.5064 0.1250 0.2500 1
O2 0.2436 0.6250 0.2500 1
O3 0.3750 0.4936 0.7500 1
O4 0.8750 0.7564 0.7500 1


Copy entry 9 word for word.
# PmMgZnRu, relaxed, DFT PBE
# crystal system = cubic
# ΔE_f = -73 meV per atom
data_PmMgZnRu
_chemical_formula_sum 'Pm1 Mg1 Zn1 Ru1'
_cell_length_a 4.8176
_cell_length_b 4.8176
_cell_length_c 4.8176
_cell_angle_alpha 60.00
_cell_angle_beta 60.00
_cell_angle_gamma 60.00
_symmetry_space_group_name_H-M 'P 1'
_symmetry_Int_Tables_number 1
loop_
_symmetry_equiv_pos_as_xyz
'x,y,z'
loop_
_atom_site_label
_atom_site_fract_x
_atom_site_fract_y
_atom_site_fract_z
_atom_site_occupancy
Ru1 0.2500 0.2500 0.2500 1
Zn1 0.7500 0.7500 0.7500 1
Mg1 0.5000 0.5000 0.5000 1
Pm1 0.0000 0.0000 0.0000 1